1.
The following is a DFT calculation (PBE-GGA) of Bi3TeP after structural relaxation.

a b c (Å): 5.8252 5.8252 5.8252
angles (deg): 90.00 90.00 90.00
Positions (direct):
Bi1 0.0000 0.0000 0.5000
Bi2 0.0000 0.5000 0.0000
Bi3 0.5000 0.0000 0.0000
Te1 0.0000 0.0000 0.0000
P1 0.5000 0.5000 0.5000

Calculated values
The symmetry is Pm-3m. The uncorrected formation energy is 1193 meV per atom. The value obtained for the energy relative to the lowest polymorph listed for this composition is 721.5 meV/atom.



2.
The following is a DFT calculation (PBE-GGA) of Bi2TeP2 after structural relaxation.

a b c (Å): 8.0698 8.0698 3.8962
angles (deg): 90.00 90.00 90.00
Positions (direct):
Bi1 0.1589 0.3411 0.0000
Bi2 0.3411 0.8411 0.0000
Bi3 0.6589 0.1589 0.0000
Bi4 0.8411 0.6589 0.0000
Te1 0.0000 0.0000 0.5000
Te2 0.5000 0.5000 0.5000
P1 0.1697 0.6697 0.5000
P2 0.3303 0.1697 0.5000
P3 0.6697 0.8303 0.5000
P4 0.8303 0.3303 0.5000

Calculated values
The symmetry is P4/mbm. The uncorrected formation energy is 348 meV per atom. The value obtained for the energy relative to the lowest polymorph listed for this composition is 88.0 meV/atom.



3.
The following is a DFT calculation (PBE-GGA) of Bi2TeP after structural relaxation.

a b c (Å): 6.8959 6.8959 6.8959
angles (deg): 110.19 110.19 108.04
Positions (direct):
Bi1 0.0855 0.6250 0.9605
Bi2 0.3750 0.3355 0.4605
Bi3 0.6645 0.1250 0.0395
Bi4 0.8750 0.9145 0.5395
Te1 0.2500 0.7500 0.5000
Te2 0.5000 0.5000 0.0000
P1 0.0000 0.0000 0.0000
P2 0.7500 0.2500 0.5000

Calculated values
The symmetry is I-42d. The uncorrected formation energy is 179 meV per atom. The value obtained for the energy relative to the lowest polymorph listed for this composition is 145.3 meV/atom.



4.
The following is a DFT calculation (PBE-GGA) of BiTe2P after structural relaxation.

a b c (Å): 9.3496 9.3496 9.3496
angles (deg): 144.10 144.10 51.67
Positions (direct):
Bi1 0.0000 0.0000 0.0000
Bi2 0.7500 0.2500 0.5000
Te1 0.1798 0.6250 0.0548
Te2 0.3750 0.4298 0.5548
Te3 0.5702 0.1250 0.9452
Te4 0.8750 0.8202 0.4452
P1 0.2500 0.7500 0.5000
P2 0.5000 0.5000 0.0000

Calculated values
The symmetry is I-42d. The uncorrected formation energy is 314 meV per atom. The value obtained for the energy relative to the lowest polymorph listed for this composition is 111.5 meV/atom.



5.
The following is a DFT calculation (PBE-GGA) of BiTe2P after structural relaxation.

a b c (Å): 11.5756 11.5756 11.5756
angles (deg): 16.61 16.61 16.61
Positions (direct):
Bi1 0.0000 0.0000 0.0000
Te1 0.4221 0.4221 0.4221
Te2 0.5779 0.5779 0.5779
P1 0.5000 0.5000 0.5000

Calculated values
The symmetry is R-3m. The uncorrected formation energy is 523 meV per atom. The value obtained for the energy relative to the lowest polymorph listed for this composition is 320.5 meV/atom.



6.
The following is a DFT calculation (PBE-GGA) of Th3BiTeP after structural relaxation.

a b c (Å): 7.7792 4.1714 11.9608
angles (deg): 90.00 105.82 90.00
Positions (direct):
Th1 0.1714 0.2500 0.1419
Th2 0.2931 0.7500 0.5050
Th3 0.3227 0.7500 0.8749
Th4 0.6773 0.2500 0.1251
Th5 0.7069 0.2500 0.4950
Th6 0.8286 0.7500 0.8581
Bi1 0.4976 0.7500 0.2881
Bi2 0.5024 0.2500 0.7119
Te1 0.0096 0.2500 0.3609
Te2 0.9904 0.7500 0.6391
P1 0.0883 0.2500 0.8948
P2 0.9117 0.7500 0.1052

Calculated values
The symmetry is P2_1/m. The uncorrected formation energy is -884 meV per atom.



7.
The following is a DFT calculation (PBE-GGA) of Th4Bi2TeP after structural relaxation.

a b c (Å): 7.7314 4.3705 7.8159
angles (deg): 90.00 108.63 90.00
Positions (direct):
Th1 0.2136 0.0000 0.2181
Th2 0.2225 0.5000 0.7678
Th3 0.7775 0.5000 0.2322
Th4 0.7864 0.0000 0.7819
Bi1 0.5000 0.0000 0.0000
Bi2 0.5000 0.5000 0.5000
Te1 0.0000 0.0000 0.5000
P1 0.0000 0.5000 0.0000

Calculated values
The symmetry is P2/m. The uncorrected formation energy is -929 meV per atom.



8.
The following is a DFT calculation (PBE-GGA) of Tm4Bi2TeP after structural relaxation.

a b c (Å): 7.4217 4.2515 7.4230
angles (deg): 90.00 109.13 90.00
Positions (direct):
Tm1 0.2255 0.0000 0.2264
Tm2 0.2341 0.5000 0.7636
Tm3 0.7659 0.5000 0.2364
Tm4 0.7745 0.0000 0.7736
Bi1 0.0000 0.0000 0.5000
Bi2 0.5000 0.5000 0.5000
Te1 0.5000 0.0000 0.0000
P1 0.0000 0.5000 0.0000

Calculated values
The symmetry is P2/m. The uncorrected formation energy is -1072 meV per atom.



9.
The following is a DFT calculation (PBE-GGA) of Tm4BiTe2P after structural relaxation.

a b c (Å): 7.3988 4.2076 7.4182
angles (deg): 90.00 109.04 90.00
Positions (direct):
Tm1 0.2167 0.0000 0.2170
Tm2 0.2290 0.5000 0.7702
Tm3 0.7710 0.5000 0.2298
Tm4 0.7833 0.0000 0.7830
Bi1 0.0000 0.0000 0.5000
Te1 0.5000 0.0000 0.0000
Te2 0.5000 0.5000 0.5000
P1 0.0000 0.5000 0.0000

Calculated values
The symmetry is P2/m. The uncorrected formation energy is -1216 meV per atom.



10.
The following is a DFT calculation (PBE-GGA) of Tm6BiTe3P2 after structural relaxation.

a b c (Å): 9.4810 9.4810 8.5248
angles (deg): 103.87 103.87 25.30
Positions (direct):
Tm1 0.0191 0.0191 0.2611
Tm2 0.3221 0.3221 0.4359
Tm3 0.3272 0.3272 0.8739
Tm4 0.6728 0.6728 0.1261
Tm5 0.6779 0.6779 0.5641
Tm6 0.9809 0.9809 0.7389
Bi1 0.5000 0.5000 0.0000
Te1 0.1601 0.1601 0.8343
Te2 0.5000 0.5000 0.5000
Te3 0.8399 0.8399 0.1657
P1 0.1702 0.1702 0.3403
P2 0.8298 0.8298 0.6597

Calculated values
The symmetry is C2/m. The uncorrected formation energy is -1322 meV per atom.



11.
The following is a DFT calculation (PBE-GGA) of VBiTe2P after structural relaxation.

a b c (Å): 5.9363 5.9363 5.2191
angles (deg): 90.00 90.00 90.00
Positions (direct):
V1 0.0000 0.0000 0.0000
Bi1 0.0000 0.0000 0.5000
Te1 0.0000 0.5000 0.5000
Te2 0.5000 0.0000 0.5000
P1 0.5000 0.5000 0.0000

Calculated values
The symmetry is P4/mmm. The uncorrected formation energy is 1596 meV per atom.



12.
The following is a DFT calculation (PBE-GGA) of Y4BiTe2P after structural relaxation.

a b c (Å): 7.5072 4.2690 7.5226
angles (deg): 90.00 109.02 90.00
Positions (direct):
Y1 0.2182 0.0000 0.2186
Y2 0.2301 0.5000 0.7688
Y3 0.7699 0.5000 0.2312
Y4 0.7818 0.0000 0.7814
Bi1 0.0000 0.0000 0.5000
Te1 0.5000 0.0000 0.0000
Te2 0.5000 0.5000 0.5000
P1 0.0000 0.5000 0.0000

Calculated values
The symmetry is P2/m. The uncorrected formation energy is -1317 meV per atom.



13.
The following is a DFT calculation (PBE-GGA) of Th3BiP2 after structural relaxation.

a b c (Å): 7.0551 7.0551 10.1051
angles (deg): 90.00 90.00 138.94
Positions (direct):
Th1 0.1009 0.8991 0.7500
Th2 0.3749 0.6251 0.5420
Th3 0.3749 0.6251 0.9580
Th4 0.6251 0.3749 0.0420
Th5 0.6251 0.3749 0.4580
Th6 0.8991 0.1009 0.2500
Bi1 0.2175 0.7825 0.2500
Bi2 0.7825 0.2175 0.7500
P1 0.0000 0.0000 0.0000
P2 0.0000 0.0000 0.5000
P3 0.4838 0.5162 0.2500
P4 0.5162 0.4838 0.7500

Calculated values
The symmetry is Cmcm. The calculation puts the energy relative to the elements at -0.915 eV per atom.



14.
The following is a DFT calculation (PBE-GGA) of Th5BiP4 after structural relaxation.

a b c (Å): 7.3349 7.3349 10.4296
angles (deg): 118.37 118.37 33.32
Positions (direct):
Th1 0.0000 0.0000 0.0000
Th2 0.2084 0.2084 0.8188
Th3 0.3875 0.3875 0.6148
Th4 0.6125 0.6125 0.3852
Th5 0.7916 0.7916 0.1812
Bi1 0.0000 0.0000 0.5000
P1 0.2059 0.2059 0.2940
P2 0.4060 0.4060 0.1049
P3 0.5940 0.5940 0.8951
P4 0.7941 0.7941 0.7060

Calculated values
The symmetry is C2/m. The calculation puts the energy relative to the elements at -1.317 eV per atom.



15.
The following is a DFT calculation (PBE-GGA) of Th12Bi3P5 after structural relaxation.

a b c (Å): 15.1501 15.1501 15.1501
angles (deg): 109.47 109.47 109.47
Positions (direct):
Th1 0.0301 0.2054 0.1098
Th2 0.0301 0.3246 0.9203
Th3 0.0797 0.6098 0.4044
Th4 0.0797 0.9699 0.6754
Th5 0.0956 0.7054 0.6754
Th6 0.0956 0.8902 0.4203
Th7 0.1098 0.0301 0.2054
Th8 0.1098 0.5797 0.9044
Th9 0.1754 0.2054 0.5956
Th10 0.1754 0.4699 0.5797
Th11 0.2054 0.1098 0.0301
Th12 0.2054 0.5956 0.1754
Th13 0.2946 0.3246 0.9044
Th14 0.2946 0.4699 0.3902
Th15 0.3246 0.9044 0.2946
Th16 0.3246 0.9203 0.0301
Th17 0.3902 0.2946 0.4699
Th18 0.3902 0.5956 0.9203
Th19 0.4044 0.0797 0.6098
Th20 0.4044 0.8246 0.7946
Th21 0.4203 0.0956 0.8902
Th22 0.4203 0.8246 0.5301
Th23 0.4699 0.3902 0.2946
Th24 0.4699 0.5797 0.1754
Th25 0.5301 0.4203 0.8246
Th26 0.5301 0.6098 0.7054
Th27 0.5797 0.1754 0.4699
Th28 0.5797 0.9044 0.1098
Th29 0.5956 0.1754 0.2054
Th30 0.5956 0.9203 0.3902
Th31 0.6098 0.4044 0.0797
Th32 0.6098 0.7054 0.5301
Th33 0.6754 0.0797 0.9699
Th34 0.6754 0.0956 0.7054
Th35 0.7054 0.5301 0.6098
Th36 0.7054 0.6754 0.0956
Th37 0.7946 0.4044 0.8246
Th38 0.7946 0.8902 0.9699
Th39 0.8246 0.5301 0.4203
Th40 0.8246 0.7946 0.4044
Th41 0.8902 0.4203 0.0956
Th42 0.8902 0.9699 0.7946
Th43 0.9044 0.1098 0.5797
Th44 0.9044 0.2946 0.3246
Th45 0.9203 0.0301 0.3246
Th46 0.9203 0.3902 0.5956
Th47 0.9699 0.6754 0.0797
Th48 0.9699 0.7946 0.8902
Bi1 0.1250 0.2500 0.3750
Bi2 0.1250 0.3750 0.7500
Bi3 0.2500 0.3750 0.1250
Bi4 0.2500 0.8750 0.6250
Bi5 0.3750 0.1250 0.2500
Bi6 0.3750 0.7500 0.1250
Bi7 0.6250 0.2500 0.8750
Bi8 0.6250 0.8750 0.7500
Bi9 0.7500 0.1250 0.3750
Bi10 0.7500 0.6250 0.8750
Bi11 0.8750 0.6250 0.2500
Bi12 0.8750 0.7500 0.6250
P1 0.0000 0.0000 0.0000
P2 0.0000 0.0000 0.5000
P3 0.0000 0.5000 0.0000
P4 0.0000 0.5000 0.5000
P5 0.1250 0.7500 0.8750
P6 0.1250 0.8750 0.2500
P7 0.2500 0.1250 0.8750
P8 0.2500 0.6250 0.3750
P9 0.3750 0.2500 0.6250
P10 0.3750 0.6250 0.7500
P11 0.5000 0.0000 0.0000
P12 0.5000 0.0000 0.5000
P13 0.5000 0.5000 0.0000
P14 0.5000 0.5000 0.5000
P15 0.6250 0.3750 0.2500
P16 0.6250 0.7500 0.3750
P17 0.7500 0.3750 0.6250
P18 0.7500 0.8750 0.1250
P19 0.8750 0.1250 0.7500
P20 0.8750 0.2500 0.1250

Calculated values
The symmetry is Ia-3d. The calculation puts the energy relative to the elements at -0.419 eV per atom.



16.
The following is a DFT calculation (PBE-GGA) of Th3Bi2P after structural relaxation.

a b c (Å): 7.6036 7.6036 7.8353
angles (deg): 99.31 99.31 119.84
Positions (direct):
Th1 0.0636 0.4250 0.7787
Th2 0.2067 0.2067 0.2093
Th3 0.4250 0.0636 0.7787
Th4 0.5750 0.9364 0.2213
Th5 0.7933 0.7933 0.7907
Th6 0.9364 0.5750 0.2213
Bi1 0.0000 0.0000 0.5000
Bi2 0.3457 0.6543 0.5000
Bi3 0.5000 0.5000 0.0000
Bi4 0.6543 0.3457 0.5000
P1 0.1699 0.8301 0.0000
P2 0.8301 0.1699 0.0000

Calculated values
The symmetry is C2/m. The calculation puts the energy relative to the elements at -0.898 eV per atom.



17.
The following is a DFT calculation (PBE-GGA) of Th6Bi3P after structural relaxation.

a b c (Å): 7.2372 8.4153 12.9129
angles (deg): 90.00 124.05 90.00
Positions (direct):
Th1 0.0614 0.1934 0.4401
Th2 0.0614 0.3066 0.9401
Th3 0.2920 0.6546 0.4439
Th4 0.2920 0.8454 0.9439
Th5 0.4103 0.0296 0.2327
Th6 0.4103 0.4704 0.7327
Th7 0.5897 0.5296 0.2673
Th8 0.5897 0.9704 0.7673
Th9 0.7080 0.1546 0.0561
Th10 0.7080 0.3454 0.5561
Th11 0.9386 0.6934 0.0599
Th12 0.9386 0.8066 0.5599
Bi1 0.1656 0.1404 0.7431
Bi2 0.1656 0.3596 0.2431
Bi3 0.5000 0.0000 0.5000
Bi4 0.5000 0.5000 0.0000
Bi5 0.8344 0.6404 0.7569
Bi6 0.8344 0.8596 0.2569
P1 0.0000 0.0000 0.0000
P2 0.0000 0.5000 0.5000

Calculated values
The symmetry is P2_1/c. The calculation puts the energy relative to the elements at -0.519 eV per atom.



18.
The following is a DFT calculation (PBE-GGA) of ThBiP2 after structural relaxation.

a b c (Å): 8.7829 8.7829 8.7829
angles (deg): 27.66 27.66 27.66
Positions (direct):
Th1 0.0000 0.0000 0.0000
Bi1 0.5000 0.5000 0.5000
P1 0.3931 0.3931 0.3931
P2 0.6069 0.6069 0.6069

Calculated values
The symmetry is R-3m. The calculation puts the energy relative to the elements at -0.302 eV per atom.



19.
The following is a DFT calculation (PBE-GGA) of Ti2BiP after structural relaxation.

a b c (Å): 4.6875 4.6875 4.6875
angles (deg): 60.00 60.00 60.00
Positions (direct):
Ti1 0.2500 0.2500 0.2500
Ti2 0.7500 0.7500 0.7500
Bi1 0.0000 0.0000 0.0000
P1 0.5000 0.5000 0.5000

Calculated values
The symmetry is Fm-3m. The calculation puts the energy relative to the elements at -0.141 eV per atom.



20.
The following is a DFT calculation (PBE-GGA) of Ti5Bi2P after structural relaxation.

a b c (Å): 7.3297 7.3297 11.5309
angles (deg): 90.00 90.00 143.05
Positions (direct):
Ti1 0.1059 0.8941 0.6381
Ti2 0.1059 0.8941 0.8619
Ti3 0.2804 0.7196 0.2500
Ti4 0.2948 0.7052 0.5394
Ti5 0.2948 0.7052 0.9606
Ti6 0.7052 0.2948 0.0394
Ti7 0.7052 0.2948 0.4606
Ti8 0.7196 0.2804 0.7500
Ti9 0.8941 0.1059 0.1381
Ti10 0.8941 0.1059 0.3619
Bi1 0.1010 0.8990 0.1077
Bi2 0.1010 0.8990 0.3923
Bi3 0.8990 0.1010 0.6077
Bi4 0.8990 0.1010 0.8923
P1 0.2562 0.7438 0.7500
P2 0.7438 0.2562 0.2500

Calculated values
The symmetry is Cmcm. The calculation puts the energy relative to the elements at 0.003 eV per atom.



no.,theoretical density (g/cm³),M_tot (μB/f.u.),uncorrected energy (eV/atom)
1,6.6,0.00,-2.85
2,8.0,0.00,-4.00
3,7.6,0.00,-3.90
4,5.9,0.00,-3.58
5,7.4,0.00,-3.37
6,9.5,0.00,-6.67
7,10.0,0.00,-6.68
8,9.4,0.00,-5.35
9,8.9,0.00,-5.40
10,8.7,0.00,-5.57
11,4.9,1.27,-3.34
12,6.2,0.00,-6.50
13,9.7,0.00,-7.07
14,9.3,0.00,-7.58
15,8.8,0.01,-6.81
16,10.2,0.00,-6.80
17,10.4,0.00,-6.68
18,6.5,0.00,-5.83
19,7.7,0.00,-6.41
20,6.1,0.00,-6.58